{"formula": "Ce2AsCl3", "functional": "PBE", "state": "optimized geometry", "spacegroup": "C2/m, No. 12", "total_energy_ev_per_atom": -5.470, "raw_formation_energy_mev_per_atom": -1793.3, "cell": [[7.949, -2.121, 0.000], [7.949, 2.121, 0.000], [-4.070, 0.000, 10.381]], "species": ["Ce", "Ce", "Ce", "Ce", "As", "As", "Cl", "Cl", "Cl", "Cl", "Cl", "Cl"], "frac_coords": [[0.010, 0.010, 0.178], [0.256, 0.256, 0.151], [0.744, 0.744, 0.849], [0.990, 0.990, 0.822], [0.381, 0.381, 0.985], [0.619, 0.619, 0.015], [0.136, 0.136, 0.717], [0.194, 0.194, 0.341], [0.466, 0.466, 0.656], [0.534, 0.534, 0.344], [0.806, 0.806, 0.659], [0.864, 0.864, 0.283]]}

=====

{"formula": "Li2SmPb9", "functional": "PBE", "state": "optimized geometry", "formation_energy_ev_per_atom": -0.192, "spacegroup": "P4/mmm, No. 123", "total_energy_ev_per_atom": -3.685, "cell": [[4.818, 0.000, 0.000], [0.000, 4.818, 0.000], [0.000, 0.000, 14.889]], "species": ["Li", "Li", "Sm", "Pb", "Pb", "Pb", "Pb", "Pb", "Pb", "Pb", "Pb", "Pb"], "frac_coords": [[0.000, 0.000, 0.167], [0.000, 0.000, 0.833], [0.000, 0.000, 0.500], [0.000, 0.500, 0.000], [0.000, 0.500, 0.327], [0.000, 0.500, 0.673], [0.500, 0.000, 0.000], [0.500, 0.000, 0.327], [0.500, 0.000, 0.673], [0.500, 0.500, 0.163], [0.500, 0.500, 0.500], [0.500, 0.500, 0.837]]}

=====

{"formula": "RbH2Pd", "functional": "PBE", "state": "optimized geometry", "relative_energy_ev_per_atom": 0.430, "spacegroup": "R-3m, No. 166", "total_energy_ev_per_atom": -3.067, "cell": [[3.261, 0.000, 0.000], [-1.631, 2.824, 0.000], [0.000, 0.000, 17.843]], "species": ["Rb", "Rb", "Rb", "H", "H", "H", "H", "H", "H", "Pd", "Pd", "Pd"], "frac_coords": [[0.000, 0.000, 0.000], [0.333, 0.667, 0.667], [0.667, 0.333, 0.333], [0.000, 0.000, 0.209], [0.000, 0.000, 0.791], [0.333, 0.667, 0.457], [0.333, 0.667, 0.876], [0.667, 0.333, 0.124], [0.667, 0.333, 0.543], [0.000, 0.000, 0.500], [0.333, 0.667, 0.167], [0.667, 0.333, 0.833]]}

=====

{"formula": "Pm3Dy4Al4", "functional": "PBE", "state": "optimized geometry", "formation_energy_ev_per_atom": -0.191, "spacegroup": "Immm, No. 71", "total_energy_ev_per_atom": -4.521, "cell": [[-2.581, 3.466, 8.516], [2.581, -3.466, 8.516], [2.581, 3.466, -8.516]], "species": ["Pm", "Pm", "Pm", "Dy", "Dy", "Dy", "Dy", "Al", "Al", "Al", "Al"], "frac_coords": [[0.000, 0.000, 0.000], [0.397, 0.897, 0.500], [0.603, 0.103, 0.500], [0.053, 0.321, 0.731], [0.410, 0.679, 0.731], [0.590, 0.321, 0.269], [0.947, 0.679, 0.269], [0.178, 0.178, 0.000], [0.303, 0.500, 0.803], [0.697, 0.500, 0.197], [0.822, 0.822, 0.000]]}

=====

{"formula": "MgTaBeIr", "functional": "PBE", "state": "optimized geometry", "formation_energy_ev_per_atom": -0.285, "spacegroup": "F-43m, No. 216", "total_energy_ev_per_atom": -6.793, "cell": [[6.186, 0.000, 0.000], [0.000, 6.186, 0.000], [0.000, 0.000, 6.186]], "species": ["Mg", "Mg", "Mg", "Mg", "Ta", "Ta", "Ta", "Ta", "Be", "Be", "Be", "Be", "Ir", "Ir", "Ir", "Ir"], "frac_coords": [[0.000, 0.000, 0.000], [0.000, 0.500, 0.500], [0.500, 0.000, 0.500], [0.500, 0.500, 0.000], [0.000, 0.000, 0.500], [0.000, 0.500, 0.000], [0.500, 0.000, 0.000], [0.500, 0.500, 0.500], [0.250, 0.250, 0.750], [0.250, 0.750, 0.250], [0.750, 0.250, 0.250], [0.750, 0.750, 0.750], [0.250, 0.250, 0.250], [0.250, 0.750, 0.750], [0.750, 0.250, 0.750], [0.750, 0.750, 0.250]]}

=====

{"formula": "RbSrTbF6", "functional": "PBE", "state": "optimized geometry", "spacegroup": "Imma, No. 74", "total_energy_ev_per_atom": -5.742, "raw_formation_energy_mev_per_atom": -3685.8, "cell": [[-3.992, 4.044, 5.681], [3.992, -4.044, 5.681], [3.992, 4.044, -5.681]], "species": ["Rb", "Rb", "Sr", "Sr", "Tb", "Tb", "F", "F", "F", "F", "F", "F", "F", "F", "F", "F", "F", "F"], "frac_coords": [[0.390, 0.140, 0.250], [0.610, 0.860, 0.750], [0.000, 0.000, 0.500], [0.000, 0.500, 0.000], [0.000, 0.500, 0.500], [0.500, 0.500, 0.000], [0.114, 0.864, 0.250], [0.160, 0.439, 0.333], [0.160, 0.827, 0.721], [0.169, 0.419, 0.750], [0.394, 0.173, 0.833], [0.394, 0.561, 0.221], [0.606, 0.439, 0.779], [0.606, 0.827, 0.167], [0.831, 0.581, 0.250], [0.840, 0.173, 0.279], [0.840, 0.561, 0.667], [0.886, 0.136, 0.750]]}

=====

Number 2 is which compound? Li2SmPb9